A plane-wave DFT calculation with meta-GGA SCAN was carried out for NaLiWF2 at its PBEsol-relaxed geometry.

a b c (Å): 4.1011 4.1011 6.3130
angles (deg): 90.00 90.00 90.00
Site moments in Bohr magnetons follow the coordinates.
Sites, in units of the cell vectors:
Na: 0.0000 0.0000 0.5000  0.01
Li: 0.5000 0.5000 0.5000  0.01
W: 0.0000 0.0000 0.0000  2.24
F: 0.0000 0.5000 0.0000  0.08
F: 0.5000 0.0000 0.0000  0.08

Output
size of the total moment = 3.190 μB/f.u.
space-group type = P4/mmm (123)
uncorrected formation energy = -0.420 eV/atom